# 1
Entry from Alexandria via LeMat-Bulk: CaMnIn2Bi after structural relaxation (PBE).

Unit cell a=5.133 b=5.491 c=5.133 alpha=90.00 beta=90.00 gamma=90.00
Atoms (fractional coordinates):
1 In 0.000 0.000 0.500
2 Ca 0.000 0.500 0.000
3 In 0.500 0.000 0.000
4 Bi 0.500 0.500 0.500
5 Mn 0.000 0.000 0.000

Calculated values
The total energy is -3.93 eV per atom. The space group is P4/mmm, No. 123. The density of states at the Fermi level is 3.33 states/eV/f.u. As for the formation energy from the elements: 0.18 eV per atom.

=====

# 2
Entry from Alexandria via LeMat-Bulk: TbAlBi after structural relaxation (PBE).

Unit cell a=4.345 b=4.345 c=8.526 alpha=90.00 beta=90.00 gamma=90.00
Atoms (fractional coordinates):
1 Bi 0.500 0.000 0.322
2 Al 0.500 0.500 0.000
3 Tb 0.000 0.500 0.299
4 Bi 0.000 0.500 0.678
5 Tb 0.500 0.000 0.701
6 Al 0.000 0.000 0.000

Calculated values
The total energy is -4.46 eV per atom. The space group is P4/nmm, No. 129. The density of states at the Fermi level is 1.12 states/eV/f.u. As for the formation energy from the elements: -0.37 eV per atom.

=====

# 3
Entry from Alexandria via LeMat-Bulk: BaSi2O after structural relaxation (PBE).

Unit cell a=4.773 b=4.773 c=8.590 alpha=73.87 beta=73.87 gamma=90.00
Atoms (fractional coordinates):
1 O 0.250 0.750 0.500
2 O 0.500 0.500 0.000
3 Ba 0.000 0.000 0.000
4 Si 0.375 0.625 0.250
5 Si 0.375 0.625 0.750
6 Si 0.375 0.125 0.250
7 Si 0.875 0.625 0.750
8 Ba 0.750 0.250 0.500

Calculated values
The total energy is -4.82 eV per atom. The formation energy (no corrections) is -0.39 eV per atom. The space group is I4_1/amd, No. 141. The density of states at the Fermi level is 0.71 states/eV/f.u.

=====

# 4
Entry from Alexandria via LeMat-Bulk: MgTa2B after structural relaxation (PBE).

Unit cell a=6.991 b=6.991 c=5.602 alpha=51.39 beta=51.39 gamma=90.00
Atoms (fractional coordinates):
1 Mg 0.750 0.250 0.500
2 Ta 0.375 0.436 0.750
3 Ta 0.564 0.125 0.250
4 B 0.500 0.500 0.000
5 Ta 0.186 0.625 0.250
6 B 0.250 0.750 0.500
7 Ta 0.875 0.814 0.750
8 Mg 0.000 0.000 0.000

Calculated values
The total energy is -7.52 eV per atom. The space group is I-42d, No. 122. The density of states at the Fermi level is 3.03 states/eV/f.u. As for the formation energy from the elements: 0.47 eV per atom.

=====

# 5
Entry from Alexandria via LeMat-Bulk: TaCrBr2 after structural relaxation (PBE).

Unit cell a=3.110 b=5.896 c=4.469 alpha=90.00 beta=90.00 gamma=90.00
Atoms (fractional coordinates):
1 Br 0.500 0.500 0.000
2 Ta 0.000 0.500 0.500
3 Cr 0.500 0.000 0.500
4 Br 0.000 0.000 0.000

Calculated values
The total energy is -5.58 eV per atom. The formation energy (no corrections) is 0.63 eV per atom. The space group is Pmmm, No. 47. The density of states at the Fermi level is 2.91 states/eV/f.u.

=====

# 6
Entry from Alexandria via LeMat-Bulk: Ag4Te3 after structural relaxation (PBE).

Unit cell a=8.346 b=8.346 c=8.346 alpha=59.95 beta=59.95 gamma=59.95
Atoms (fractional coordinates):
1 Ag 0.742 0.742 0.742
2 Ag 0.258 0.258 0.258
3 Ag 0.727 0.258 0.258
4 Te 0.000 0.500 0.500
5 Ag 0.273 0.742 0.742
6 Te 0.875 0.875 0.875
7 Te 0.125 0.125 0.125
8 Te 0.500 0.500 0.000
9 Ag 0.742 0.273 0.742
10 Ag 0.258 0.258 0.727
11 Ag 0.258 0.727 0.258
12 Ag 0.742 0.742 0.273
13 Te 0.500 0.000 0.500
14 Te 0.500 0.500 0.500

Calculated values
The total energy is -2.94 eV per atom. The formation energy (no corrections) is 0.03 eV per atom. The space group is Fd-3m, No. 227. The density of states at the Fermi level is 4.36 states/eV/f.u.

=====

# 7
Entry from Alexandria via LeMat-Bulk: Ti4CuNi3 after structural relaxation (PBE).

Unit cell a=4.574 b=5.580 c=8.612 alpha=90.00 beta=90.00 gamma=90.00
Atoms (fractional coordinates):
1 Ti 0.500 0.248 0.000
2 Ti 0.500 0.248 0.500
3 Ni 0.621 0.000 0.750
4 Cu 0.000 0.500 0.500
5 Ti 0.914 0.754 0.250
6 Cu 0.000 0.500 0.000
7 Ni 0.619 0.500 0.750
8 Ni 0.000 0.000 0.000
9 Ti 0.500 0.752 0.000
10 Ti 0.086 0.754 0.750
11 Ti 0.914 0.246 0.250
12 Ni 0.000 0.000 0.500
13 Ni 0.381 0.500 0.250
14 Ti 0.500 0.752 0.500
15 Ti 0.086 0.246 0.750
16 Ni 0.379 0.000 0.250

Calculated values
The total energy is -6.90 eV per atom. The space group is Pmma, No. 51. The density of states at the Fermi level is 11.13 states/eV/f.u. As for the formation energy from the elements: -0.27 eV per atom.

=====

# 8
Entry from Alexandria via LeMat-Bulk: TaP2Au after structural relaxation (PBE).

Unit cell a=3.525 b=3.525 c=5.322 alpha=90.00 beta=90.00 gamma=90.00
Atoms (fractional coordinates):
1 P 0.000 0.000 0.924
2 Au 0.500 0.500 0.806
3 Ta 0.000 0.000 0.459
4 P 0.500 0.500 0.311

Calculated values
The total energy is -6.65 eV per atom. The space group is P4mm, No. 99. The density of states at the Fermi level is 1.47 states/eV/f.u. As for the formation energy from the elements: -0.16 eV per atom.